# MgBeFe2 | the Alexandria database | PBE-GGA | optimized geometry
# Energy above the most stable polymorph in this dataset in eV/atom: 0.041
# DFT formation energy in meV per atom: 111
data_MgBeFe2
_space_group_name_H-M_alt 'P m m m'
_space_group_IT_number 47
_cell_length_a 2.846
_cell_length_b 2.857
_cell_length_c 5.877
_cell_angle_alpha 90.00
_cell_angle_beta 90.00
_cell_angle_gamma 90.00
loop_
_space_group_symop_operation_xyz
'x,y,z'
'-x,-y,-z'
'-x,-y,z'
'x,y,-z'
'x,-y,-z'
'-x,y,z'
'-x,y,-z'
'x,-y,z'
loop_
_atom_site_label
_atom_site_type_symbol
_atom_site_fract_x
_atom_site_fract_y
_atom_site_fract_z
_atom_site_occupancy
Mg1 Mg 0.000 0.000 0.000 1
Be1 Be 0.000 0.000 0.500 1
Fe1 Fe 0.500 0.500 0.307 1

# BaLa3N | the Alexandria database | PBE-GGA | optimized geometry
# Energy relative to the elements, uncorrected in eV per atom: -0.336
# Energy above the most stable polymorph in this dataset in eV/atom: 0.000
data_BaLa3N
_space_group_name_H-M_alt 'P m -3 m'
_space_group_IT_number 221
_space_group_name_Hall '-P 4 2 3'
_cell_length_a 5.322
_cell_length_b 5.322
_cell_length_c 5.322
_cell_angle_alpha 90.00
_cell_angle_beta 90.00
_cell_angle_gamma 90.00
loop_
_atom_site_label
_atom_site_type_symbol
_atom_site_fract_x
_atom_site_fract_y
_atom_site_fract_z
_atom_site_occupancy
Ba1 Ba 0.000 0.000 0.000 1
La1 La 0.000 0.500 0.500 1
N1 N 0.500 0.500 0.500 1

# As2Pb | the Alexandria database | PBE-GGA | optimized geometry
# Energy above the most stable polymorph in this dataset in eV/atom: 0.143
# DFT formation energy in meV per atom: 194
data_As2Pb
_space_group_name_H-M_alt 'P 63/m m c'
_space_group_IT_number 194
_space_group_name_Hall '-P 6c 2c'
_cell_length_a 4.5334
_cell_length_b 4.5334
_cell_length_c 8.7148
_cell_angle_alpha 90.00
_cell_angle_beta 90.00
_cell_angle_gamma 120.00
loop_
_atom_site_label
_atom_site_type_symbol
_atom_site_fract_x
_atom_site_fract_y
_atom_site_fract_z
_atom_site_occupancy
As1 As 0.3333 0.6667 0.0346 1
Pb1 Pb 0.0000 0.0000 0.2500 1

# DyScAlIr | the Alexandria database | PBE-GGA | optimized geometry
# DFT formation energy in meV per atom: -608
data_DyScAlIr
_space_group_name_H-M_alt 'F -4 3 m'
_space_group_IT_number 216
_space_group_name_Hall 'F -4 2 3'
_cell_length_a 6.824
_cell_length_b 6.824
_cell_length_c 6.824
_cell_angle_alpha 90.00
_cell_angle_beta 90.00
_cell_angle_gamma 90.00
loop_
_atom_site_label
_atom_site_type_symbol
_atom_site_fract_x
_atom_site_fract_y
_atom_site_fract_z
_atom_site_occupancy
Dy1 Dy 0.000 0.000 0.000 1
Sc1 Sc 0.000 0.000 0.500 1
Al1 Al 0.250 0.250 0.250 1
Ir1 Ir 0.250 0.250 0.750 1